[1]
DFT (PBE) results for a geometry-optimized GdDyAlNi2 structure.

Calculated values
Uncorrected energy in eV for the cell shown: -26.8
Symmetry: Imm2, No. 44

Unit cell a=5.377 b=5.377 c=5.377 alpha=134.25 beta=119.86 gamma=78.71
Atoms (fractional coordinates):
Gd 0.000 0.000 0.000
Dy 0.591 0.591 0.000
Al 0.296 0.796 0.500
Ni 0.029 0.296 0.733
Ni 0.562 0.296 0.267

[2]
DFT (PBE) results for a geometry-optimized GdDyAl2Pd4 structure.

Calculated values
Uncorrected energy in eV for the cell shown: -45.0
Symmetry: P-6m2, No. 187

Unit cell a=4.373 b=4.373 c=9.144 alpha=90.00 beta=90.00 gamma=120.00
Atoms (fractional coordinates):
Gd 0.000 0.000 0.000
Dy 0.333 0.667 0.500
Al 0.667 0.333 0.251
Al 0.667 0.333 0.749
Pd 0.000 0.000 0.331
Pd 0.000 0.000 0.669
Pd 0.333 0.667 0.172
Pd 0.333 0.667 0.828

[3]
DFT (PBE) results for a geometry-optimized GdDy2Al3Si2Pd structure.

Calculated values
Uncorrected energy in eV for the cell shown: -48.3
Symmetry: Amm2, No. 38

Unit cell a=4.262 b=6.905 c=6.905 alpha=120.04 beta=90.00 gamma=90.00
Atoms (fractional coordinates):
Gd 0.000 0.000 0.000
Dy 0.000 0.417 0.835
Dy 0.000 0.835 0.417
Al 0.500 0.180 0.418
Al 0.500 0.418 0.180
Al 0.500 0.656 0.656
Si 0.500 0.085 0.749
Si 0.500 0.749 0.085
Pd 0.000 0.420 0.420

[4]
DFT (PBE) results for a geometry-optimized Gd2DyAl3Si2Pd structure.

Calculated values
Uncorrected energy in eV for the cell shown: -48.3
Symmetry: Amm2, No. 38

Unit cell a=4.272 b=6.921 c=6.921 alpha=119.98 beta=90.00 gamma=90.00
Atoms (fractional coordinates):
Gd 0.000 0.209 0.791
Gd 0.000 0.791 0.209
Dy 0.000 0.626 0.626
Al 0.500 0.210 0.447
Al 0.500 0.447 0.210
Al 0.500 0.971 0.971
Si 0.500 0.543 0.874
Si 0.500 0.874 0.543
Pd 0.000 0.211 0.211

[5]
DFT (PBE) results for a geometry-optimized GdDyAl4Pt2 structure.

Calculated values
Uncorrected energy in eV for the cell shown: -44.3
Symmetry: Amm2, No. 38

Unit cell a=6.941 b=5.605 c=5.605 alpha=44.81 beta=90.00 gamma=90.00
Atoms (fractional coordinates):
Gd 0.000 0.000 0.000
Dy 0.500 0.140 0.140
Al 0.197 0.715 0.715
Al 0.304 0.424 0.424
Al 0.696 0.424 0.424
Al 0.803 0.715 0.715
Pt 0.000 0.282 0.282
Pt 0.500 0.859 0.859

[6]
DFT (PBE) results for a geometry-optimized GdDy2Al3Si2Pt structure.

Calculated values
Uncorrected energy in eV for the cell shown: -49.9
Symmetry: Amm2, No. 38

Unit cell a=4.231 b=6.932 c=6.932 alpha=120.02 beta=90.00 gamma=90.00
Atoms (fractional coordinates):
Gd 0.000 0.000 0.000
Dy 0.000 0.417 0.834
Dy 0.000 0.834 0.417
Al 0.500 0.181 0.418
Al 0.500 0.418 0.181
Al 0.500 0.654 0.654
Si 0.500 0.085 0.749
Si 0.500 0.749 0.085
Pt 0.000 0.420 0.420